Record 1
Mg2Sc2Ag2HgAu | GGA-PBE | optimized geometry

Raw total energy = -3.567 eV/atom

```
data_Mg2Sc2Ag2HgAu
_chemical_formula_sum 'Mg2 Sc2 Ag2 Hg1 Au1'
_cell_length_a 4.774
_cell_length_b 4.774
_cell_length_c 6.809
_cell_angle_alpha 90.00
_cell_angle_beta 90.00
_cell_angle_gamma 90.00
_space_group_name_H-M_alt 'P 1'
_space_group_IT_number 1
_space_group_name_Hall 'P 1'
loop_
_atom_site_label
_atom_site_fract_x
_atom_site_fract_y
_atom_site_fract_z
Mg1 0.000 0.500 0.245
Mg2 0.500 0.000 0.755
Sc1 0.000 0.500 0.759
Sc2 0.500 0.000 0.241
Ag1 0.000 0.000 0.000
Ag2 0.500 0.500 0.500
Hg1 0.000 0.000 0.500
Au1 0.500 0.500 0.000
```

***

Record 2
NaYBiIr | GGA-PBE | optimized geometry

Raw total energy = -5.535 eV/atom
Energy above the lowest structure with this stoichiometry = 0.000 eV per atom

```
data_NaYBiIr
_chemical_formula_sum 'Na4 Y4 Bi4 Ir4'
_cell_length_a 6.956
_cell_length_b 6.956
_cell_length_c 6.956
_cell_angle_alpha 90.00
_cell_angle_beta 90.00
_cell_angle_gamma 90.00
_space_group_name_H-M_alt 'P 1'
_space_group_IT_number 1
_space_group_name_Hall 'P 1'
loop_
_atom_site_label
_atom_site_fract_x
_atom_site_fract_y
_atom_site_fract_z
Na1 0.000 0.000 0.000
Na2 0.000 0.500 0.500
Na3 0.500 0.000 0.500
Na4 0.500 0.500 0.000
Y1 0.250 0.250 0.250
Y2 0.250 0.750 0.750
Y3 0.750 0.250 0.750
Y4 0.750 0.750 0.250
Bi1 0.250 0.250 0.750
Bi2 0.250 0.750 0.250
Bi3 0.750 0.250 0.250
Bi4 0.750 0.750 0.750
Ir1 0.000 0.000 0.500
Ir2 0.000 0.500 0.000
Ir3 0.500 0.000 0.000
Ir4 0.500 0.500 0.500
```

***

Record 3
NaAgTe3Pd | GGA-PBE | optimized geometry

Raw total energy = -3.424 eV/atom

```
data_NaAgTe3Pd
_chemical_formula_sum 'Na2 Ag2 Te6 Pd2'
_cell_length_a 7.225
_cell_length_b 7.225
_cell_length_c 10.880
_cell_angle_alpha 90.00
_cell_angle_beta 90.00
_cell_angle_gamma 147.96
_space_group_name_H-M_alt 'P 1'
_space_group_IT_number 1
_space_group_name_Hall 'P 1'
loop_
_atom_site_label
_atom_site_fract_x
_atom_site_fract_y
_atom_site_fract_z
Na1 0.241 0.759 0.750
Na2 0.759 0.241 0.250
Ag1 0.429 0.571 0.250
Ag2 0.571 0.429 0.750
Te1 0.072 0.928 0.250
Te2 0.362 0.638 0.013
Te3 0.362 0.638 0.487
Te4 0.638 0.362 0.513
Te5 0.638 0.362 0.987
Te6 0.928 0.072 0.750
Pd1 0.000 0.000 0.000
Pd2 0.000 0.000 0.500
```

***

Record 4
PaNbC2 | GGA-PBE | optimized geometry

Raw total energy = -10.048 eV/atom

```
data_PaNbC2
_chemical_formula_sum 'Pa4 Nb4 C8'
_cell_length_a 5.845
_cell_length_b 3.367
_cell_length_c 11.297
_cell_angle_alpha 90.00
_cell_angle_beta 90.00
_cell_angle_gamma 90.00
_space_group_name_H-M_alt 'P 1'
_space_group_IT_number 1
_space_group_name_Hall 'P 1'
loop_
_atom_site_label
_atom_site_fract_x
_atom_site_fract_y
_atom_site_fract_z
Pa1 0.084 0.250 0.141
Pa2 0.416 0.750 0.641
Pa3 0.584 0.250 0.359
Pa4 0.916 0.750 0.859
Nb1 0.086 0.750 0.396
Nb2 0.414 0.250 0.896
Nb3 0.586 0.750 0.104
Nb4 0.914 0.250 0.604
C1 0.161 0.250 0.755
C2 0.247 0.250 0.493
C3 0.253 0.750 0.993
C4 0.339 0.750 0.255
C5 0.661 0.250 0.745
C6 0.747 0.250 0.007
C7 0.753 0.750 0.507
C8 0.839 0.750 0.245
```

***

Record 5
ZrCoGeMo | GGA-PBE | optimized geometry

Raw total energy = -7.811 eV/atom
Energy above the lowest structure with this stoichiometry = 0.000 eV per atom

```
data_ZrCoGeMo
_chemical_formula_sum 'Zr4 Co4 Ge4 Mo4'
_cell_length_a 6.278
_cell_length_b 6.278
_cell_length_c 6.278
_cell_angle_alpha 90.00
_cell_angle_beta 90.00
_cell_angle_gamma 90.00
_space_group_name_H-M_alt 'P 1'
_space_group_IT_number 1
_space_group_name_Hall 'P 1'
loop_
_atom_site_label
_atom_site_fract_x
_atom_site_fract_y
_atom_site_fract_z
Zr1 0.000 0.000 0.000
Zr2 0.000 0.500 0.500
Zr3 0.500 0.000 0.500
Zr4 0.500 0.500 0.000
Co1 0.250 0.250 0.750
Co2 0.250 0.750 0.250
Co3 0.750 0.250 0.250
Co4 0.750 0.750 0.750
Ge1 0.000 0.000 0.500
Ge2 0.000 0.500 0.000
Ge3 0.500 0.000 0.000
Ge4 0.500 0.500 0.500
Mo1 0.250 0.250 0.250
Mo2 0.250 0.750 0.750
Mo3 0.750 0.250 0.750
Mo4 0.750 0.750 0.250
```

***

Record 6
Cs2GaAgBr6 | GGA-PBE | optimized geometry

Raw total energy = -2.854 eV/atom

```
data_Cs2GaAgBr6
_chemical_formula_sum 'Cs2 Ga1 Ag1 Br6'
_cell_length_a 7.745
_cell_length_b 7.745
_cell_length_c 7.745
_cell_angle_alpha 60.21
_cell_angle_beta 60.21
_cell_angle_gamma 60.21
_space_group_name_H-M_alt 'P 1'
_space_group_IT_number 1
_space_group_name_Hall 'P 1'
loop_
_atom_site_label
_atom_site_fract_x
_atom_site_fract_y
_atom_site_fract_z
Cs1 0.250 0.250 0.250
Cs2 0.750 0.750 0.750
Ga1 0.000 0.000 0.000
Ag1 0.500 0.500 0.500
Br1 0.218 0.763 0.257
Br2 0.237 0.743 0.782
Br3 0.257 0.218 0.763
Br4 0.743 0.782 0.237
Br5 0.763 0.257 0.218
Br6 0.782 0.237 0.743
```

***

Record 7
LuSc2Te | GGA-PBE | optimized geometry

Raw total energy = -5.217 eV/atom

```
data_LuSc2Te
_chemical_formula_sum 'Lu4 Sc8 Te4'
_cell_length_a 7.253
_cell_length_b 7.253
_cell_length_c 7.253
_cell_angle_alpha 90.00
_cell_angle_beta 90.00
_cell_angle_gamma 90.00
_space_group_name_H-M_alt 'P 1'
_space_group_IT_number 1
_space_group_name_Hall 'P 1'
loop_
_atom_site_label
_atom_site_fract_x
_atom_site_fract_y
_atom_site_fract_z
Lu1 0.000 0.000 0.000
Lu2 0.000 0.500 0.500
Lu3 0.500 0.000 0.500
Lu4 0.500 0.500 0.000
Sc1 0.000 0.000 0.500
Sc2 0.000 0.500 0.000
Sc3 0.250 0.250 0.250
Sc4 0.250 0.750 0.750
Sc5 0.500 0.000 0.000
Sc6 0.500 0.500 0.500
Sc7 0.750 0.250 0.750
Sc8 0.750 0.750 0.250
Te1 0.250 0.250 0.750
Te2 0.250 0.750 0.250
Te3 0.750 0.250 0.250
Te4 0.750 0.750 0.750
```

***

Record 8
DyCuHgSe3 | GGA-PBE | optimized geometry

Raw total energy = -3.929 eV/atom

```
data_DyCuHgSe3
_chemical_formula_sum 'Dy2 Cu2 Hg2 Se6'
_cell_length_a 6.891
_cell_length_b 6.891
_cell_length_c 10.794
_cell_angle_alpha 90.00
_cell_angle_beta 90.00
_cell_angle_gamma 146.66
_space_group_name_H-M_alt 'P 1'
_space_group_IT_number 1
_space_group_name_Hall 'P 1'
loop_
_atom_site_label
_atom_site_fract_x
_atom_site_fract_y
_atom_site_fract_z
Dy1 0.000 0.000 0.000
Dy2 0.000 0.000 0.500
Cu1 0.472 0.528 0.750
Cu2 0.528 0.472 0.250
Hg1 0.242 0.758 0.250
Hg2 0.758 0.242 0.750
Se1 0.092 0.908 0.750
Se2 0.357 0.643 0.574
Se3 0.357 0.643 0.926
Se4 0.643 0.357 0.074
Se5 0.643 0.357 0.426
Se6 0.908 0.092 0.250
```

***

What is the formula in the fifth record?
ZrCoGeMo

***

What is the formula in the fourth record?
PaNbC2

***

Repeat the second record exactly.
NaYBiIr | GGA-PBE | optimized geometry

Raw total energy = -5.535 eV/atom
Energy above the lowest structure with this stoichiometry = 0.000 eV per atom

```
data_NaYBiIr
_chemical_formula_sum 'Na4 Y4 Bi4 Ir4'
_cell_length_a 6.956
_cell_length_b 6.956
_cell_length_c 6.956
_cell_angle_alpha 90.00
_cell_angle_beta 90.00
_cell_angle_gamma 90.00
_space_group_name_H-M_alt 'P 1'
_space_group_IT_number 1
_space_group_name_Hall 'P 1'
loop_
_atom_site_label
_atom_site_fract_x
_atom_site_fract_y
_atom_site_fract_z
Na1 0.000 0.000 0.000
Na2 0.000 0.500 0.500
Na3 0.500 0.000 0.500
Na4 0.500 0.500 0.000
Y1 0.250 0.250 0.250
Y2 0.250 0.750 0.750
Y3 0.750 0.250 0.750
Y4 0.750 0.750 0.250
Bi1 0.250 0.250 0.750
Bi2 0.250 0.750 0.250
Bi3 0.750 0.250 0.250
Bi4 0.750 0.750 0.750
Ir1 0.000 0.000 0.500
Ir2 0.000 0.500 0.000
Ir3 0.500 0.000 0.000
Ir4 0.500 0.500 0.500
```